Below is an optimized crystal structure of CsK2HgP, with properties calculated at the PBE level.

Output
- formation energy from the elements (eV/f.u.) = -0.4
- magnetization (μB per atom) = 0.096

```
data_CsK2HgP
_symmetry_space_group_name_H-M 'P 4/m m m'
_symmetry_Int_Tables_number 123
_symmetry_space_group_name_Hall '-P 4 2'
_cell_length_a 6.4606
_cell_length_b 6.4606
_cell_length_c 5.3902
_cell_angle_alpha 90.00
_cell_angle_beta 90.00
_cell_angle_gamma 90.00
loop_
_atom_site_label
_atom_site_type_symbol
_atom_site_fract_x
_atom_site_fract_y
_atom_site_fract_z
Cs1 Cs 0.0000 0.0000 0.0000
K1 K 0.0000 0.5000 0.5000
Hg1 Hg 0.5000 0.5000 0.0000
P1 P 0.5000 0.5000 0.5000
```

***

Below is an optimized crystal structure of Cs2KHgP, with properties calculated at the PBE level.

Output
- formation energy from the elements (eV/f.u.) = -0.4
- magnetization (μB per atom) = 0.056

```
data_Cs2KHgP
_symmetry_space_group_name_H-M 'P 4/m m m'
_symmetry_Int_Tables_number 123
_symmetry_space_group_name_Hall '-P 4 2'
_cell_length_a 7.0011
_cell_length_b 7.0011
_cell_length_c 6.3116
_cell_angle_alpha 90.00
_cell_angle_beta 90.00
_cell_angle_gamma 90.00
loop_
_atom_site_label
_atom_site_type_symbol
_atom_site_fract_x
_atom_site_fract_y
_atom_site_fract_z
Cs1 Cs 0.0000 0.5000 0.0000
K1 K 0.0000 0.0000 0.5000
Hg1 Hg 0.5000 0.5000 0.5000
P1 P 0.0000 0.0000 0.0000
```

***

- What is the magnetization in the first record?
  0.096 μB per atom